First-principles (PBE) data for crystalline Hg2PbCl at its relaxed geometry, as listed in the Alexandria database.

Results
- DFT total energy: -1.803 eV per atom
- M_tot: 0.0 μB per formula unit
- Formation energy from raw total energies: -1.05 eV/f.u.
- Excess energy over the best structure of this formula in the dataset: 33 meV per atom
- N(E_F): 1.3 states/eV/f.u.

Cell: 5.7261 3.5726 6.2243 Å, 65.93 90.00 90.00°
Closest atoms and distances in Å follow each position.
Fractional positions:
Hg (0.0000, 0.3427, 0.4964)  2 Hg 2.95-3.26
Hg (0.0000, 0.1573, 0.0036)  2 Hg 2.95-3.26
Pb (0.5000, 0.2500, 0.2500)  2 Cl 2.89
Cl (0.5000, 0.7500, 0.7500)  2 Pb 2.89



First-principles (PBE) data for crystalline LaInPb2 at its relaxed geometry, as listed in the Alexandria database.

Results
- DFT total energy: -4.052 eV per atom
- M_tot: 0.0 μB per formula unit
- DFT formation energy: -0.281 eV/atom
- N(E_F): 3.0 states/eV/f.u.

Cell: 5.5160 3.5022 6.3189 Å, 89.08 90.00 90.00°
Closest atoms and distances in Å follow each position.
Fractional positions:
In (0.5000, 0.2500, 0.2500)  4 Pb 3.22, 2 In 3.50, 2 La 3.59
La (0.5000, 0.7500, 0.7500)  8 Pb 3.47-3.79, 2 La 3.50, 4 In 3.59-3.64
Pb (0.0000, 0.1482, 0.9944)  4 Pb 3.16-3.50, 2 In 3.22, 2 La 3.47
Pb (0.0000, 0.3518, 0.5056)  4 Pb 3.16-3.50, 2 In 3.22, 2 La 3.47



First-principles (PBE) data for crystalline KHfTlP2 at its relaxed geometry, as listed in the Alexandria database.

Results
- DFT total energy: -4.592 eV per atom
- M_tot: 0.0 μB per formula unit
- DFT formation energy: 0.256 eV/atom
- N(E_F): 2.9 states/eV/f.u.

Cell: 5.0266 6.2544 5.0266 Å, 90.00 90.00 90.00°
Closest atoms and distances in Å follow each position.
Fractional positions:
P (0.0000, 0.0000, 0.5000)  2 Hf 2.51
P (0.5000, 0.0000, 0.0000)  2 Hf 2.51
Tl (0.5000, 0.5000, 0.5000)  4 K 3.55
K (0.0000, 0.5000, 0.0000)  2 Hf 3.13
Hf (0.0000, 0.0000, 0.0000)  4 P 2.51



First-principles (PBE) data for crystalline NaCd2BiRh at its relaxed geometry, as listed in the Alexandria database.

Results
- DFT total energy: -2.912 eV per atom
- M_tot: 0.0 μB per formula unit
- DFT formation energy: -0.036 eV/atom
- N(E_F): 3.0 states/eV/f.u.

Cell: 5.2636 5.2636 5.1788 Å, 90.00 90.00 90.00°
Closest atoms and distances in Å follow each position.
Fractional positions:
Bi (0.0000, 0.0000, 0.5000)  2 Rh 2.59
Na (0.5000, 0.5000, 0.5000)  8 Cd 3.69, 4 Bi 3.72
Rh (0.0000, 0.0000, 0.0000)  2 Bi 2.59, 4 Cd 2.63
Cd (0.5000, 0.0000, 0.0000)  2 Rh 2.63
Cd (0.0000, 0.5000, 0.0000)  2 Rh 2.63



First-principles (PBE) data for crystalline Th2MgCd12Ag3 at its relaxed geometry, as listed in the Alexandria database.

Results
- DFT total energy: -1.861 eV per atom
- M_tot: 0.9 μB per formula unit
- DFT formation energy: 0.137 eV/atom
- N(E_F): 11.3 states/eV/f.u.

Cell: 7.6724 7.6724 7.6724 Å, 85.82 85.82 85.82°
Closest atoms and distances in Å follow each position.
Fractional positions:
Th (0.6334, 0.6334, 0.6334)  9 Cd 3.17-3.42
Th (0.3666, 0.3666, 0.3666)  9 Cd 3.17-3.42
Cd (0.2832, 0.8092, 0.8092)  3 Cd 2.82-3.01, 1 Ag 2.84, 1 Mg 2.90
Cd (0.8092, 0.8092, 0.2832)  3 Cd 2.82-3.01, 1 Ag 2.84, 1 Mg 2.90
Cd (0.3834, 0.9268, 0.3834)  2 Cd 2.82-2.95, 2 Ag 3.04
Cd (0.8092, 0.2832, 0.8092)  3 Cd 2.82-3.01, 1 Ag 2.84, 1 Mg 2.90
Cd (0.1908, 0.7168, 0.1908)  3 Cd 2.82-3.01, 1 Ag 2.84, 1 Mg 2.90
Cd (0.7168, 0.1908, 0.1908)  3 Cd 2.82-3.01, 1 Ag 2.84, 1 Mg 2.90
Cd (0.9268, 0.3834, 0.3834)  2 Cd 2.82-2.95, 2 Ag 3.04
Cd (0.1908, 0.1908, 0.7168)  3 Cd 2.82-3.01, 1 Ag 2.84, 1 Mg 2.90
Cd (0.0732, 0.6166, 0.6166)  2 Cd 2.82-2.95, 2 Ag 3.04
Cd (0.3834, 0.3834, 0.9268)  2 Cd 2.82-2.95, 2 Ag 3.04
Cd (0.6166, 0.0732, 0.6166)  2 Cd 2.82-2.95, 2 Ag 3.04
Cd (0.6166, 0.6166, 0.0732)  2 Cd 2.82-2.95, 2 Ag 3.04
Mg (0.0000, 0.0000, 0.0000)  6 Cd 2.90
Ag (0.0000, 0.5000, 0.0000)  6 Cd 2.84-3.04
Ag (0.0000, 0.0000, 0.5000)  6 Cd 2.84-3.04
Ag (0.5000, 0.0000, 0.0000)  6 Cd 2.84-3.04



First-principles (PBE) data for crystalline Th2CuAu at its relaxed geometry, as listed in the Alexandria database.

Results
- DFT total energy: -5.851 eV per atom
- M_tot: 0.0 μB per formula unit
- DFT formation energy: -0.298 eV/atom
- N(E_F): 5.1 states/eV/f.u.

Cell: 3.6476 3.6476 7.3305 Å, 90.00 90.00 90.00°
Closest atoms and distances in Å follow each position.
Fractional positions:
Cu (0.5000, 0.5000, 0.0000)  8 Th 3.11
Th (0.0000, 0.0000, 0.2372)  4 Cu 3.11, 4 Au 3.22, 1 Th 3.48
Th (0.0000, 0.0000, 0.7628)  4 Cu 3.11, 4 Au 3.22, 1 Th 3.48
Au (0.5000, 0.5000, 0.5000)  8 Th 3.22